PBE+U Y2NiClO, relaxed; symmetry = P4/mmm, No. 123; VASP energy = -5.385 eV per atom; DOS at the Fermi energy = 5.24 states/eV per cell; total moment = 0.0 μB per formula unit; crystal system = tetragonal
1.0
4.9050 0.0000 0.0000
0.0000 4.9050 0.0000
0.0000 0.0000 3.6512
Y Ni Cl O
2 1 1 1
Direct
0.0000 0.5000 0.0000
0.5000 0.0000 0.0000
0.0000 0.0000 0.5000
0.5000 0.5000 0.5000
0.0000 0.0000 0.0000